No. 1
DFT (PBE-GGA) results for crystalline Pm3Nd4Tm2 at its relaxed geometry.

Structure (POSCAR):
```
Pm3Nd4Tm2
1.0
-2.334 -2.226 -4.005
0.525 -5.417 6.006
-5.759 13.191 -3.976
Pm Tm Nd
3 2 4
direct
0.556 0.112 0.666
0.000 0.000 0.000
0.444 0.888 0.334
0.219 0.438 0.664
0.781 0.562 0.336
0.664 0.328 0.998
0.888 0.775 0.665
0.112 0.225 0.335
0.336 0.672 0.002
```

Results
Density of states at the Fermi level (states/eV/atom): 1.50
Calculated formation energy (meV per atom): 18.7



No. 2
DFT (PBE-GGA) results for crystalline LaTlInTe3 at its relaxed geometry.

Structure (POSCAR):
```
LaTlInTe3
1.0
4.916 0.000 0.000
0.000 9.246 -0.229
0.000 -2.698 10.266
Te In Tl La
6 2 2 2
direct
0.250 0.539 0.832
0.750 0.461 0.168
0.250 0.093 0.887
0.250 0.776 0.481
0.750 0.907 0.113
0.750 0.224 0.519
0.750 0.892 0.388
0.250 0.108 0.612
0.750 0.792 0.781
0.250 0.208 0.219
0.250 0.681 0.143
0.750 0.319 0.857
```

Results
Energy relative to the elements, uncorrected (meV per atom): -760
Density of states at the Fermi level (states/eV/atom): 0.33



No. 3
DFT (PBE-GGA) results for crystalline TiCr4Tc5 at its relaxed geometry.

Structure (POSCAR):
```
TiCr4Tc5
1.0
-2.582 1.524 0.084
-1.416 -2.454 0.985
2.857 4.053 14.208
Tc Cr Ti
5 4 1
direct
0.500 0.500 0.893
0.500 0.500 0.694
0.500 0.500 0.500
0.500 0.500 0.107
0.500 0.500 0.306
0.000 0.000 0.599
0.000 0.000 0.798
0.000 0.000 0.202
0.000 0.000 0.401
0.000 0.000 0.000
```

Results
Density of states at the Fermi level (states/eV/atom): 0.95
Calculated formation energy (meV per atom): -59.7



No. 4
DFT (PBE-GGA) results for crystalline Re2IrRu at its relaxed geometry.

Structure (POSCAR):
```
Re2IrRu
1.0
4.388 0.000 0.000
0.000 2.749 0.000
0.000 0.000 4.798
Ir Ru Re
1 1 2
direct
0.500 0.625 0.795
0.000 0.625 0.454
0.000 0.125 0.961
0.500 0.125 0.291
```

Results
Density of states at the Fermi level (states/eV/atom): 0.61
Calculated formation energy (meV per atom): -210.8



No. 5
DFT (PBE-GGA) results for crystalline B3TeAs at its relaxed geometry.

Structure (POSCAR):
```
B3TeAs
1.0
4.241 0.000 0.000
0.000 4.241 0.000
0.000 0.000 4.241
As B Te
1 3 1
direct
0.000 0.000 0.000
0.500 0.000 0.000
0.000 0.500 0.000
0.000 0.000 0.500
0.500 0.500 0.500
```

Results
Energy relative to the elements, uncorrected (meV per atom): 1660
Density of states at the Fermi level (states/eV/atom): 0.42



No. 6
DFT (PBE-GGA) results for crystalline YIn2FeTe at its relaxed geometry.

Structure (POSCAR):
```
YIn2FeTe
1.0
5.943 0.000 0.000
0.000 4.919 0.000
0.000 0.000 5.943
In Y Fe Te
2 1 1 1
direct
0.000 0.000 0.500
0.500 0.000 0.000
0.000 0.000 0.000
0.000 0.500 0.000
0.500 0.500 0.500
```

Results
Energy relative to the elements, uncorrected (meV per atom): 885
Density of states at the Fermi level (states/eV/atom): 0.99



No. 7
DFT (PBE-GGA) results for crystalline CoIr2Cl at its relaxed geometry.

Structure (POSCAR):
```
CoIr2Cl
1.0
-1.669 -0.958 -2.039
2.696 0.608 -0.474
2.230 -8.278 2.061
Ir Cl Co
2 1 1
direct
0.000 0.000 0.514
0.000 0.000 0.986
0.500 0.500 0.250
0.500 0.500 0.750
```

Results
Energy relative to the elements, uncorrected (meV per atom): 621
Density of states at the Fermi level (states/eV/atom): 1.49



No. 8
DFT (PBE-GGA) results for crystalline Ti2MnPd9 at its relaxed geometry.

Structure (POSCAR):
```
Ti2MnPd9
1.0
-3.235 0.764 2.092
-1.503 -3.470 -1.057
4.921 -5.008 9.440
Pd Mn Ti
9 1 2
direct
0.000 0.500 0.830
0.500 0.500 0.335
0.500 0.500 0.665
0.000 0.500 0.170
0.500 0.500 0.000
0.500 0.000 0.170
0.500 0.000 0.500
0.500 0.000 0.830
0.000 0.500 0.500
0.000 0.000 0.000
0.000 0.000 0.329
0.000 0.000 0.671
```

Results
Density of states at the Fermi level (states/eV/atom): 0.38
Calculated formation energy (meV per atom): -520.9



No. 9
DFT (PBE-GGA) results for crystalline SrTaNF2 at its relaxed geometry.

Structure (POSCAR):
```
SrTaNF2
1.0
-4.251 -1.931 -2.123
-0.440 -2.314 2.985
-2.807 3.583 2.364
Sr N F Ta
1 1 2 1
direct
0.500 0.500 0.500
0.000 0.000 0.000
0.000 0.000 0.500
0.500 0.000 0.000
0.000 0.500 0.000
```

Results
Energy relative to the elements, uncorrected (meV per atom): -721
Density of states at the Fermi level (states/eV/atom): 0.24



No. 10
DFT (PBE-GGA) results for crystalline KPa2Te4 at its relaxed geometry.

Structure (POSCAR):
```
KPa2Te4
1.0
-3.867 -0.786 2.005
5.445 -0.661 5.359
-1.374 15.056 3.254
K Pa Te
2 4 8
direct
0.396 0.793 0.250
0.604 0.207 0.750
0.134 0.268 0.438
0.866 0.732 0.562
0.866 0.732 0.938
0.134 0.268 0.062
0.500 0.000 0.500
0.231 0.461 0.615
0.769 0.539 0.115
0.500 0.000 0.000
0.921 0.843 0.750
0.079 0.157 0.250
0.769 0.539 0.385
0.231 0.461 0.885
```

Results
Energy relative to the elements, uncorrected (meV per atom): -858
Density of states at the Fermi level (states/eV/atom): 1.71



Number 1: calculated density 7.369 g cm⁻³. Number 2: calculated density 6.023 g cm⁻³. Number 3: calculated density 9.146 g cm⁻³. Number 4: calculated density 19.103 g cm⁻³. Number 5: calculated density 5.115 g cm⁻³. Number 6: calculated density 4.798 g cm⁻³. Number 7: calculated density 13.464 g cm⁻³. Number 8: calculated density 10.145 g cm⁻³. Number 9: calculated density 5.323 g cm⁻³. Number 10: calculated density 6.684 g cm⁻³.